Density functional theory data (PBEsol) for crystalline RbCuSbRu2 at its relaxed geometry.

Crystal system ... tetragonal
Energy relative to the elements, uncorrected ... 36.8 kcal/mol of atoms
Total magnetization ... 2.1 μB per formula unit
DFT total energy ... -0.32745 Ry/atom

Cell and atoms, written as CIF:
```
data_RbCuSbRu2
_space_group_name_H-M_alt 'P 4/m m m'
_space_group_IT_number 123
_space_group_name_Hall '-P 4 2'
_cell_length_a 4.6459
_cell_length_b 4.6459
_cell_length_c 5.0308
_cell_angle_alpha 90.00
_cell_angle_beta 90.00
_cell_angle_gamma 90.00
loop_
_atom_site_label
_atom_site_fract_x
_atom_site_fract_y
_atom_site_fract_z
Rb1 0.0000 0.0000 0.0000
Cu1 0.0000 0.0000 0.5000
Sb1 0.5000 0.5000 0.0000
Ru1 0.0000 0.5000 0.5000
```



Density functional theory data (PBEsol) for crystalline CrTc3P at its relaxed geometry.

Crystal system ... cubic
Total magnetization ... 0.8 μB per formula unit
DFT total energy ... -0.62264 Ry/atom
Calculated formation energy ... 1.49 eV per atom

Cell and atoms, written as CIF:
```
data_CrTc3P
_space_group_name_H-M_alt 'P m -3 m'
_space_group_IT_number 221
_space_group_name_Hall '-P 4 2 3'
_cell_length_a 4.3374
_cell_length_b 4.3374
_cell_length_c 4.3374
_cell_angle_alpha 90.00
_cell_angle_beta 90.00
_cell_angle_gamma 90.00
loop_
_atom_site_label
_atom_site_fract_x
_atom_site_fract_y
_atom_site_fract_z
Cr1 0.0000 0.0000 0.0000
Tc1 0.0000 0.0000 0.5000
P1 0.5000 0.5000 0.5000
```



Density functional theory data (PBEsol) for crystalline ZrTlRh2 at its relaxed geometry.

Crystal system ... tetragonal
Total magnetization ... 0.0 μB per formula unit
DFT total energy ... -0.54802 Ry/atom
Calculated formation energy ... -0.46 eV per atom

Cell and atoms, written as CIF:
```
data_ZrTlRh2
_space_group_name_H-M_alt 'I -4 m 2'
_space_group_IT_number 119
_space_group_name_Hall 'I -4 -2'
_cell_length_a 3.8614
_cell_length_b 3.8614
_cell_length_c 9.0119
_cell_angle_alpha 90.00
_cell_angle_beta 90.00
_cell_angle_gamma 90.00
loop_
_atom_site_label
_atom_site_fract_x
_atom_site_fract_y
_atom_site_fract_z
Zr1 0.0000 0.0000 0.0000
Tl1 0.0000 0.5000 0.2500
Rh1 0.0000 0.0000 0.5000
Rh2 0.0000 0.5000 0.7500
```